1.
Here is a relaxed Ni2Ag2Sn crystal from Alexandria. Energies are from PBE. Values from VASP.

Quantum ESPRESSO input file:
```
&SYSTEM
  ibrav = 0, nat = 10, ntyp = 3
/
ATOMIC_SPECIES
Ni 58.69 Ni.upf
Ag 107.87 Ag.upf
Sn 118.71 Sn.upf
ATOMIC_POSITIONS crystal
Ni 0.166 0.334 0.000
Ni 0.334 0.834 0.000
Ni 0.666 0.166 0.000
Ni 0.834 0.666 0.000
Ag 0.131 0.631 0.500
Ag 0.369 0.131 0.500
Ag 0.631 0.869 0.500
Ag 0.869 0.369 0.500
Sn 0.000 0.000 0.500
Sn 0.500 0.500 0.500
CELL_PARAMETERS angstrom
7.461 0.000 0.000
0.000 7.461 0.000
0.000 0.000 2.957
```

Computed properties:
The energy above the most stable polymorph in this dataset is 183.4 meV/atom. As for the space group: P4/mbm, No. 127. The crystal system is tetragonal.



2.
Here is a relaxed NiAgSn3 crystal from Alexandria. Energies are from PBE. Values from VASP.

Quantum ESPRESSO input file:
```
&SYSTEM
  ibrav = 0, nat = 5, ntyp = 3
/
ATOMIC_SPECIES
Ni 58.69 Ni.upf
Ag 107.87 Ag.upf
Sn 118.71 Sn.upf
ATOMIC_POSITIONS crystal
Ni 0.000 0.000 0.000
Ag 0.500 0.500 0.500
Sn 0.000 0.500 0.500
Sn 0.500 0.000 0.500
Sn 0.500 0.500 0.000
CELL_PARAMETERS angstrom
5.274 0.000 0.000
0.000 5.274 0.000
0.000 0.000 5.274
```

Computed properties:
The energy above the most stable polymorph in this dataset is 887.8 meV/atom. As for the space group: Pm-3m, No. 221. The crystal system is cubic.



3.
Here is a relaxed NiAgSn2 crystal from Alexandria. Energies are from PBE. Values from VASP.

Quantum ESPRESSO input file:
```
&SYSTEM
  ibrav = 0, nat = 16, ntyp = 3
/
ATOMIC_SPECIES
Ni 58.69 Ni.upf
Ag 107.87 Ag.upf
Sn 118.71 Sn.upf
ATOMIC_POSITIONS crystal
Ni 0.000 0.000 0.000
Ni 0.000 0.500 0.250
Ni 0.500 0.000 0.750
Ni 0.500 0.500 0.500
Ag 0.000 0.000 0.500
Ag 0.000 0.500 0.750
Ag 0.500 0.000 0.250
Ag 0.500 0.500 0.000
Sn 0.145 0.750 0.125
Sn 0.250 0.145 0.875
Sn 0.250 0.355 0.375
Sn 0.355 0.750 0.625
Sn 0.645 0.250 0.625
Sn 0.750 0.645 0.375
Sn 0.750 0.855 0.875
Sn 0.855 0.250 0.125
CELL_PARAMETERS angstrom
8.415 0.000 0.000
0.000 8.415 0.000
0.000 0.000 5.180
```

Computed properties:
The energy above the most stable polymorph in this dataset is 102.9 meV/atom. As for the space group: I-42d, No. 122. The crystal system is tetragonal.



4.
Here is a relaxed Ni2AgSn2 crystal from Alexandria. Energies are from PBE. Values from VASP.

Quantum ESPRESSO input file:
```
&SYSTEM
  ibrav = 0, nat = 10, ntyp = 3
/
ATOMIC_SPECIES
Ni 58.69 Ni.upf
Ag 107.87 Ag.upf
Sn 118.71 Sn.upf
ATOMIC_POSITIONS crystal
Ni 0.000 0.500 0.250
Ni 0.000 0.500 0.750
Ni 0.500 0.000 0.250
Ni 0.500 0.000 0.750
Ag 0.000 0.000 0.000
Ag 0.500 0.500 0.500
Sn 0.000 0.000 0.377
Sn 0.000 0.000 0.623
Sn 0.500 0.500 0.123
Sn 0.500 0.500 0.877
CELL_PARAMETERS angstrom
3.450 0.000 0.000
0.000 3.450 0.000
0.000 0.000 15.749
```

Computed properties:
The energy above the most stable polymorph in this dataset is 148.6 meV/atom. As for the space group: I4/mmm, No. 139. The crystal system is tetragonal.



5.
Here is a relaxed NiAgSn3 crystal from Alexandria. Energies are from PBE. Values from VASP.

Quantum ESPRESSO input file:
```
&SYSTEM
  ibrav = 0, nat = 10, ntyp = 3
/
ATOMIC_SPECIES
Ni 58.69 Ni.upf
Ag 107.87 Ag.upf
Sn 118.71 Sn.upf
ATOMIC_POSITIONS crystal
Ni 0.223 0.223 0.375
Ni 0.777 0.777 0.625
Ag 0.447 0.447 0.254
Ag 0.553 0.553 0.746
Sn 0.093 0.093 0.858
Sn 0.106 0.510 0.759
Sn 0.490 0.894 0.241
Sn 0.510 0.106 0.759
Sn 0.894 0.490 0.241
Sn 0.907 0.907 0.142
CELL_PARAMETERS angstrom
4.895 -4.264 0.000
4.895 4.264 0.000
-3.825 0.000 5.395
```

Computed properties:
The energy above the most stable polymorph in this dataset is 0.0 meV/atom. As for the space group: C2/m, No. 12. The crystal system is monoclinic.



6.
Here is a relaxed Ni2Ag2Sn crystal from Alexandria. Energies are from PBE. Values from VASP.

Quantum ESPRESSO input file:
```
&SYSTEM
  ibrav = 0, nat = 10, ntyp = 3
/
ATOMIC_SPECIES
Ni 58.69 Ni.upf
Ag 107.87 Ag.upf
Sn 118.71 Sn.upf
ATOMIC_POSITIONS crystal
Ni 0.130 0.370 0.000
Ni 0.370 0.870 0.000
Ni 0.630 0.130 0.000
Ni 0.870 0.630 0.000
Ag 0.163 0.663 0.500
Ag 0.337 0.163 0.500
Ag 0.663 0.837 0.500
Ag 0.837 0.337 0.500
Sn 0.000 0.000 0.000
Sn 0.500 0.500 0.000
CELL_PARAMETERS angstrom
6.431 0.000 0.000
0.000 6.431 0.000
0.000 0.000 3.990
```

Computed properties:
The energy above the most stable polymorph in this dataset is 0.0 meV/atom. As for the space group: P4/mbm, No. 127. The crystal system is tetragonal.



7.
Here is a relaxed Ni2Ag2Sn crystal from Alexandria. Energies are from PBE. Values from VASP.

Quantum ESPRESSO input file:
```
&SYSTEM
  ibrav = 0, nat = 10, ntyp = 3
/
ATOMIC_SPECIES
Ni 58.69 Ni.upf
Ag 107.87 Ag.upf
Sn 118.71 Sn.upf
ATOMIC_POSITIONS crystal
Ni 0.000 0.000 0.094
Ni 0.000 0.000 0.906
Ni 0.500 0.500 0.406
Ni 0.500 0.500 0.594
Ag 0.000 0.500 0.250
Ag 0.000 0.500 0.750
Ag 0.500 0.000 0.250
Ag 0.500 0.000 0.750
Sn 0.000 0.000 0.500
Sn 0.500 0.500 0.000
CELL_PARAMETERS angstrom
3.779 0.000 0.000
0.000 3.779 0.000
0.000 0.000 12.163
```

Computed properties:
The energy above the most stable polymorph in this dataset is 201.6 meV/atom. As for the space group: I4/mmm, No. 139. The crystal system is tetragonal.



8.
Here is a relaxed Ni2Ag2Sn crystal from Alexandria. Energies are from PBE. Values from VASP.

Quantum ESPRESSO input file:
```
&SYSTEM
  ibrav = 0, nat = 10, ntyp = 3
/
ATOMIC_SPECIES
Ni 58.69 Ni.upf
Ag 107.87 Ag.upf
Sn 118.71 Sn.upf
ATOMIC_POSITIONS crystal
Ni 0.000 0.500 0.250
Ni 0.000 0.500 0.750
Ni 0.500 0.000 0.250
Ni 0.500 0.000 0.750
Ag 0.000 0.000 0.120
Ag 0.000 0.000 0.880
Ag 0.500 0.500 0.380
Ag 0.500 0.500 0.620
Sn 0.000 0.000 0.500
Sn 0.500 0.500 0.000
CELL_PARAMETERS angstrom
3.301 0.000 0.000
0.000 3.301 0.000
0.000 0.000 16.511
```

Computed properties:
The energy above the most stable polymorph in this dataset is 255.9 meV/atom. As for the space group: I4/mmm, No. 139. The crystal system is tetragonal.



9.
Here is a relaxed NiAgSn6 crystal from Alexandria. Energies are from PBE. Values from VASP.

Quantum ESPRESSO input file:
```
&SYSTEM
  ibrav = 0, nat = 8, ntyp = 3
/
ATOMIC_SPECIES
Ni 58.69 Ni.upf
Ag 107.87 Ag.upf
Sn 118.71 Sn.upf
ATOMIC_POSITIONS crystal
Ni 0.000 0.000 0.000
Ag 0.500 0.500 0.500
Sn 0.009 0.785 0.448
Sn 0.215 0.552 0.991
Sn 0.448 0.009 0.785
Sn 0.552 0.991 0.215
Sn 0.785 0.448 0.009
Sn 0.991 0.215 0.552
CELL_PARAMETERS angstrom
3.257 1.880 5.437
-3.257 1.880 5.437
0.000 -3.761 5.437
```

Computed properties:
As for the space group: R-3, No. 148. The crystal system is trigonal.



10.
Here is a relaxed NiAgSn2 crystal from Alexandria. Energies are from PBE. Values from VASP.

Quantum ESPRESSO input file:
```
&SYSTEM
  ibrav = 0, nat = 4, ntyp = 3
/
ATOMIC_SPECIES
Ni 58.69 Ni.upf
Ag 107.87 Ag.upf
Sn 118.71 Sn.upf
ATOMIC_POSITIONS crystal
Ni 0.000 0.000 0.000
Ag 0.000 0.000 0.500
Sn 0.500 0.500 0.211
Sn 0.500 0.500 0.789
CELL_PARAMETERS angstrom
3.213 0.000 0.000
0.000 3.213 0.000
0.000 0.000 7.693
```

Computed properties:
The energy above the most stable polymorph in this dataset is 0.0 meV/atom. As for the space group: P4/mmm, No. 123. The crystal system is tetragonal.



11.
Here is a relaxed Ni2AgSn2 crystal from Alexandria. Energies are from PBE. Values from VASP.

Quantum ESPRESSO input file:
```
&SYSTEM
  ibrav = 0, nat = 10, ntyp = 3
/
ATOMIC_SPECIES
Ni 58.69 Ni.upf
Ag 107.87 Ag.upf
Sn 118.71 Sn.upf
ATOMIC_POSITIONS crystal
Ni 0.130 0.370 0.000
Ni 0.370 0.870 0.000
Ni 0.630 0.130 0.000
Ni 0.870 0.630 0.000
Ag 0.000 0.000 0.000
Ag 0.500 0.500 0.000
Sn 0.166 0.666 0.500
Sn 0.334 0.166 0.500
Sn 0.666 0.834 0.500
Sn 0.834 0.334 0.500
CELL_PARAMETERS angstrom
7.130 0.000 0.000
0.000 7.130 0.000
0.000 0.000 3.349
```

Computed properties:
The energy above the most stable polymorph in this dataset is 0.0 meV/atom. As for the space group: P4/mbm, No. 127. The crystal system is tetragonal.



12.
Here is a relaxed NiAgSn3 crystal from Alexandria. Energies are from PBE. Values from VASP.

Quantum ESPRESSO input file:
```
&SYSTEM
  ibrav = 0, nat = 5, ntyp = 3
/
ATOMIC_SPECIES
Ni 58.69 Ni.upf
Ag 107.87 Ag.upf
Sn 118.71 Sn.upf
ATOMIC_POSITIONS crystal
Ni 0.000 0.000 0.000
Ag 0.500 0.500 0.500
Sn 0.000 0.000 0.500
Sn 0.000 0.500 0.000
Sn 0.500 0.000 0.000
CELL_PARAMETERS angstrom
4.982 0.000 0.000
0.000 4.982 0.000
0.000 0.000 4.982
```

Computed properties:
The energy above the most stable polymorph in this dataset is 150.5 meV/atom. As for the space group: Pm-3m, No. 221. The crystal system is cubic.



13.
Here is a relaxed NiAgSn crystal from Alexandria. Energies are from PBE. Values from VASP.

Quantum ESPRESSO input file:
```
&SYSTEM
  ibrav = 0, nat = 12, ntyp = 3
/
ATOMIC_SPECIES
Ni 58.69 Ni.upf
Ag 107.87 Ag.upf
Sn 118.71 Sn.upf
ATOMIC_POSITIONS crystal
Ni 0.000 0.000 0.000
Ni 0.000 0.500 0.500
Ni 0.500 0.000 0.500
Ni 0.500 0.500 0.000
Ag 0.250 0.250 0.250
Ag 0.250 0.750 0.750
Ag 0.750 0.250 0.750
Ag 0.750 0.750 0.250
Sn 0.250 0.250 0.750
Sn 0.250 0.750 0.250
Sn 0.750 0.250 0.250
Sn 0.750 0.750 0.750
CELL_PARAMETERS angstrom
6.095 0.000 0.000
0.000 6.095 0.000
0.000 0.000 6.095
```

Computed properties:
The energy above the most stable polymorph in this dataset is 11.3 meV/atom. As for the space group: F-43m, No. 216. The crystal system is cubic.



14.
Here is a relaxed Ni2AgSn2 crystal from Alexandria. Energies are from PBE. Values from VASP.

Quantum ESPRESSO input file:
```
&SYSTEM
  ibrav = 0, nat = 10, ntyp = 3
/
ATOMIC_SPECIES
Ni 58.69 Ni.upf
Ag 107.87 Ag.upf
Sn 118.71 Sn.upf
ATOMIC_POSITIONS crystal
Ni 0.133 0.367 0.000
Ni 0.367 0.867 0.000
Ni 0.633 0.133 0.000
Ni 0.867 0.633 0.000
Ag 0.000 0.000 0.500
Ag 0.500 0.500 0.500
Sn 0.160 0.660 0.500
Sn 0.340 0.160 0.500
Sn 0.660 0.840 0.500
Sn 0.840 0.340 0.500
CELL_PARAMETERS angstrom
7.550 0.000 0.000
0.000 7.550 0.000
0.000 0.000 3.037
```

Computed properties:
The energy above the most stable polymorph in this dataset is 95.3 meV/atom. As for the space group: P4/mbm, No. 127. The crystal system is tetragonal.



15.
Here is a relaxed NiAgSn2 crystal from Alexandria. Energies are from PBE. Values from VASP.

Quantum ESPRESSO input file:
```
&SYSTEM
  ibrav = 0, nat = 12, ntyp = 3
/
ATOMIC_SPECIES
Ni 58.69 Ni.upf
Ag 107.87 Ag.upf
Sn 118.71 Sn.upf
ATOMIC_POSITIONS crystal
Ni 0.000 0.000 0.000
Ni 0.333 0.667 0.667
Ni 0.667 0.333 0.333
Ag 0.000 0.000 0.500
Ag 0.333 0.667 0.167
Ag 0.667 0.333 0.833
Sn 0.000 0.000 0.400
Sn 0.000 0.000 0.600
Sn 0.333 0.667 0.067
Sn 0.333 0.667 0.266
Sn 0.667 0.333 0.734
Sn 0.667 0.333 0.933
CELL_PARAMETERS angstrom
3.299 0.000 0.000
-1.650 2.857 0.000
0.000 0.000 27.362
```

Computed properties:
The energy above the most stable polymorph in this dataset is 16.6 meV/atom. As for the space group: R-3m, No. 166. The crystal system is trigonal.



16.
Here is a relaxed NiAg2Sn crystal from Alexandria. Energies are from PBE. Values from VASP.

Quantum ESPRESSO input file:
```
&SYSTEM
  ibrav = 0, nat = 12, ntyp = 3
/
ATOMIC_SPECIES
Ni 58.69 Ni.upf
Ag 107.87 Ag.upf
Sn 118.71 Sn.upf
ATOMIC_POSITIONS crystal
Ni 0.000 0.000 0.000
Ni 0.333 0.667 0.667
Ni 0.667 0.333 0.333
Ag 0.000 0.000 0.082
Ag 0.000 0.000 0.918
Ag 0.333 0.667 0.584
Ag 0.333 0.667 0.749
Ag 0.667 0.333 0.251
Ag 0.667 0.333 0.416
Sn 0.000 0.000 0.500
Sn 0.333 0.667 0.167
Sn 0.667 0.333 0.833
CELL_PARAMETERS angstrom
2.972 0.000 0.000
-1.486 2.574 0.000
0.000 0.000 30.888
```

Computed properties:
As for the space group: R-3m, No. 166. The crystal system is trigonal.



17.
Here is a relaxed Ni2AgSn2 crystal from Alexandria. Energies are from PBE. Values from VASP.

Quantum ESPRESSO input file:
```
&SYSTEM
  ibrav = 0, nat = 10, ntyp = 3
/
ATOMIC_SPECIES
Ni 58.69 Ni.upf
Ag 107.87 Ag.upf
Sn 118.71 Sn.upf
ATOMIC_POSITIONS crystal
Ni 0.000 0.000 0.112
Ni 0.000 0.000 0.888
Ni 0.500 0.500 0.388
Ni 0.500 0.500 0.612
Ag 0.000 0.000 0.500
Ag 0.500 0.500 0.000
Sn 0.000 0.500 0.250
Sn 0.000 0.500 0.750
Sn 0.500 0.000 0.250
Sn 0.500 0.000 0.750
CELL_PARAMETERS angstrom
4.301 0.000 0.000
0.000 4.301 0.000
0.000 0.000 10.388
```

Computed properties:
The energy above the most stable polymorph in this dataset is 277.4 meV/atom. As for the space group: I4/mmm, No. 139. The crystal system is tetragonal.



18.
Here is a relaxed NiAg2Sn crystal from Alexandria. Energies are from PBE. Values from VASP.

Quantum ESPRESSO input file:
```
&SYSTEM
  ibrav = 0, nat = 16, ntyp = 3
/
ATOMIC_SPECIES
Ni 58.69 Ni.upf
Ag 107.87 Ag.upf
Sn 118.71 Sn.upf
ATOMIC_POSITIONS crystal
Ni 0.000 0.000 0.000
Ni 0.000 0.500 0.250
Ni 0.500 0.000 0.750
Ni 0.500 0.500 0.500
Ag 0.211 0.250 0.125
Ag 0.250 0.711 0.375
Ag 0.250 0.789 0.875
Ag 0.289 0.250 0.625
Ag 0.711 0.750 0.625
Ag 0.750 0.211 0.875
Ag 0.750 0.289 0.375
Ag 0.789 0.750 0.125
Sn 0.000 0.000 0.500
Sn 0.000 0.500 0.750
Sn 0.500 0.000 0.250
Sn 0.500 0.500 0.000
CELL_PARAMETERS angstrom
7.634 0.000 0.000
0.000 7.634 0.000
0.000 0.000 5.239
```

Computed properties:
As for the space group: I-42d, No. 122. The crystal system is tetragonal.



19.
Here is a relaxed NiAgSn4 crystal from Alexandria. Energies are from PBE. Values from VASP.

Quantum ESPRESSO input file:
```
&SYSTEM
  ibrav = 0, nat = 6, ntyp = 3
/
ATOMIC_SPECIES
Ni 58.69 Ni.upf
Ag 107.87 Ag.upf
Sn 118.71 Sn.upf
ATOMIC_POSITIONS crystal
Ni 0.000 0.000 0.000
Ag 0.500 0.500 0.500
Sn 0.000 0.500 0.228
Sn 0.000 0.500 0.772
Sn 0.500 0.000 0.228
Sn 0.500 0.000 0.772
CELL_PARAMETERS angstrom
4.551 0.000 0.000
0.000 4.551 0.000
0.000 0.000 6.854
```

Computed properties:
As for the space group: P4/mmm, No. 123. The crystal system is tetragonal.



20.
Here is a relaxed NiAgSn2 crystal from Alexandria. Energies are from PBE. Values from VASP.

Quantum ESPRESSO input file:
```
&SYSTEM
  ibrav = 0, nat = 16, ntyp = 3
/
ATOMIC_SPECIES
Ni 58.69 Ni.upf
Ag 107.87 Ag.upf
Sn 118.71 Sn.upf
ATOMIC_POSITIONS crystal
Ni 0.000 0.000 0.000
Ni 0.000 0.500 0.500
Ni 0.500 0.000 0.500
Ni 0.500 0.500 0.000
Ag 0.000 0.000 0.500
Ag 0.000 0.500 0.000
Ag 0.500 0.000 0.000
Ag 0.500 0.500 0.500
Sn 0.250 0.250 0.250
Sn 0.250 0.250 0.750
Sn 0.250 0.750 0.250
Sn 0.250 0.750 0.750
Sn 0.750 0.250 0.250
Sn 0.750 0.250 0.750
Sn 0.750 0.750 0.250
Sn 0.750 0.750 0.750
CELL_PARAMETERS angstrom
6.807 0.000 0.000
0.000 6.807 0.000
0.000 0.000 6.807
```

Computed properties:
The energy above the most stable polymorph in this dataset is 107.5 meV/atom. As for the space group: Fm-3m, No. 225. The crystal system is cubic.



no.,energy of formation (eV per atom)
1,0.28
2,0.91
3,0.15
4,0.09
5,0.02
6,0.10
7,0.30
8,0.35
9,0.02
10,0.05
11,-0.06
12,0.17
13,0.00
14,0.03
15,0.06
16,0.52
17,0.21
18,0.26
19,-0.05
20,0.15